No. 1
Compound: BaFe2Pt
Source: Alexandria
Functional: PBE
Structure: relaxed

Cell: 7.490 4.325 6.281 Å, 90.00 113.55 90.00°
Space group Cm (No. 8)
Asymmetric unit:
Ba1 0.000 0.000 0.000 x2
Fe1 0.187 0.000 0.561 x2
Fe2 0.494 0.000 0.482 x2
Pt1 0.313 0.500 0.439 x2

---

No. 2
Compound: BaFe2Pt
Source: Alexandria
Functional: PBE
Structure: relaxed

Cell: 3.051 5.297 9.842 Å, 90.00 90.00 90.00°
Space group Imm2 (No. 44)
Asymmetric unit:
Ba1 0.000 0.000 0.000 x2
Fe1 0.000 0.000 0.487 x2
Fe2 0.000 0.500 0.799 x2
Pt1 0.000 0.500 0.206 x2

---

No. 3
Compound: BaFePt2
Source: Alexandria
Functional: PBE
Structure: relaxed

Cell: 7.735 4.467 6.179 Å, 90.00 114.77 90.00°
Space group C2/m (No. 12)
Asymmetric unit:
Ba1 0.000 0.000 0.000 x2
Fe1 0.000 0.500 0.500 x2
Pt1 0.190 0.000 0.570 x4

---

no.,calculated formation energy (meV/atom),total DFT energy (no corrections) (eV per cell),density (g/cm³)
1,-8,-49.838,7.907
2,486,-45.892,9.274
3,-394,-48.088,9.993